## w
The following is a DFT calculation (PBE) of an optimized crystal structure of ZnBiN2F.

abc: 3.9541 3.9541 4.0758
angles: 90.00 90.00 90.00
Fractional coordinates of all 5 atoms:
Zn 0.0000 0.0000 0.0000
Bi 0.5000 0.5000 0.5000
N 0.0000 0.5000 0.0000
N 0.5000 0.0000 0.0000
F 0.0000 0.0000 0.5000

Output
Crystal system   tetragonal

## x
The following is a DFT calculation (PBE) of an optimized crystal structure of ZnBiN2F.

abc: 4.3450 4.3450 4.3481
angles: 90.00 90.00 90.00
Fractional coordinates of all 5 atoms:
Zn 0.0000 0.0000 0.0000
Bi 0.5000 0.5000 0.5000
N 0.0000 0.5000 0.5000
N 0.5000 0.0000 0.5000
F 0.5000 0.5000 0.0000

Output
Crystal system   tetragonal

Least stable structure: x